No. 1
CrRu3 after structural relaxation. Source: Alexandria, functional PBEsol.

a = 3.721 Å, b = 3.721 Å, c = 3.721 Å
α = 90.00°, β = 90.00°, γ = 90.00°
Atoms (fractional coordinates):
Ru: 0.000 0.500 0.500
Ru: 0.500 0.000 0.500
Ru: 0.500 0.500 0.000
Cr: 0.000 0.000 0.000

Properties
DOS(E_F) = 4.17 states/eV per cell
energy of formation = 0.107 eV per atom
total magnetic moment = 0.00 μB per cell

No. 2
BaMn2Cl after structural relaxation. Source: Alexandria, functional PBEsol.

a = 4.133 Å, b = 4.133 Å, c = 7.034 Å
α = 107.09°, β = 107.09°, γ = 90.00°
Atoms (fractional coordinates):
Mn: 0.750 0.250 0.500
Mn: 0.250 0.750 0.500
Ba: 0.500 0.500 0.000
Cl: 0.000 0.000 0.000

Properties
DOS(E_F) = 5.12 states/eV per cell
total magnetic moment = 8.60 μB per cell
energy relative to the elements, uncorrected = 6.56 kcal/mol of atoms

What is the total magnetic moment in the second record?
8.60 μB per cell

Please write out number 2 again, unchanged.
BaMn2Cl after structural relaxation. Source: Alexandria, functional PBEsol.

a = 4.133 Å, b = 4.133 Å, c = 7.034 Å
α = 107.09°, β = 107.09°, γ = 90.00°
Atoms (fractional coordinates):
Mn: 0.750 0.250 0.500
Mn: 0.250 0.750 0.500
Ba: 0.500 0.500 0.000
Cl: 0.000 0.000 0.000

Properties
DOS(E_F) = 5.12 states/eV per cell
total magnetic moment = 8.60 μB per cell
energy relative to the elements, uncorrected = 6.56 kcal/mol of atoms